[1]
Crystalline Er2SeCl at its relaxed geometry. Source: Alexandria, functional GGA-PBE.

Cell lengths 3.678, 3.678, 8.196 Å; angles 77.04, 77.04, 60.00 degrees
Fractional coordinates of all 4 atoms:
1 Er 0.256 0.256 0.234
2 Er 0.078 0.078 0.766
3 Se 0.666 0.666 0.003
4 Cl 0.501 0.501 0.497

Results
**Density**: 8.0 g/cm3
**Total magnetic moment**: 0.532 μB/f.u.
**Formation energy from raw total energies**: -1.343 eV per atom
**Distance to the lowest polymorph of the same formula**: 0.0 meV/atom

---

[2]
Crystalline Er2SiCl at its relaxed geometry. Source: Alexandria, functional GGA-PBE.

Cell lengths 4.144, 7.166, 7.331 Å; angles 89.91, 89.85, 89.99 degrees
Fractional coordinates of all 8 atoms:
1 Cl 0.034 0.892 0.275
2 Cl 0.534 0.392 0.274
3 Er 0.033 0.558 0.518
4 Er 0.531 0.391 0.903
5 Er 0.533 0.058 0.518
6 Er 0.031 0.890 0.903
7 Si 0.532 0.724 0.716
8 Si 0.032 0.224 0.716

Results
**Density**: 6.1 g/cm3
**Total magnetic moment**: 0.000 μB/f.u.
**Formation energy from raw total energies**: -1.057 eV per atom
**Distance to the lowest polymorph of the same formula**: 21.0 meV/atom

---

[3]
Crystalline ErSiCl at its relaxed geometry. Source: Alexandria, functional GGA-PBE.

Cell lengths 3.731, 7.405, 11.319 Å; angles 94.85, 99.49, 90.00 degrees
Fractional coordinates of all 12 atoms:
1 Er 0.652 0.104 0.304
2 Er 0.651 0.594 0.301
3 Er 0.349 0.406 0.699
4 Er 0.348 0.896 0.696
5 Cl 0.568 0.829 0.136
6 Cl 0.432 0.171 0.864
7 Cl 0.098 0.336 0.196
8 Cl 0.902 0.664 0.804
9 Si 0.750 0.875 0.499
10 Si 0.752 0.375 0.505
11 Si 0.248 0.625 0.495
12 Si 0.250 0.125 0.501

Results
**Density**: 5.0 g/cm3
**Total magnetic moment**: 0.000 μB/f.u.
**Formation energy from raw total energies**: -1.167 eV per atom

---

[4]
Crystalline ErSiCl6 at its relaxed geometry. Source: Alexandria, functional GGA-PBE.

Cell lengths 7.086, 7.086, 6.258 Å; angles 97.29, 97.29, 127.55 degrees
Fractional coordinates of all 8 atoms:
1 Cl 0.740 0.740 0.262
2 Cl 0.404 0.142 0.272
3 Cl 0.858 0.596 0.728
4 Cl 0.142 0.404 0.272
5 Cl 0.260 0.260 0.738
6 Cl 0.596 0.858 0.728
7 Si 0.500 0.500 0.500
8 Er 0.000 0.000 0.000

Results
**Density**: 2.8 g/cm3
**Total magnetic moment**: 0.000 μB/f.u.
**Formation energy from raw total energies**: -1.417 eV per atom

---

[5]
Crystalline Er2SiCl at its relaxed geometry. Source: Alexandria, functional GGA-PBE.

Cell lengths 4.019, 4.019, 7.489 Å; angles 74.43, 74.43, 60.00 degrees
Fractional coordinates of all 4 atoms:
1 Si 0.668 0.668 0.995
2 Er 0.070 0.070 0.790
3 Er 0.266 0.266 0.203
4 Cl 0.496 0.496 0.512

Results
**Density**: 6.6 g/cm3
**Total magnetic moment**: 0.000 μB/f.u.
**Formation energy from raw total energies**: -1.012 eV per atom
**Distance to the lowest polymorph of the same formula**: 65.9 meV/atom

---

[6]
Crystalline Er2SiCl at its relaxed geometry. Source: Alexandria, functional GGA-PBE.

Cell lengths 4.098, 4.098, 6.985 Å; angles 72.94, 72.94, 60.00 degrees
Fractional coordinates of all 4 atoms:
1 Er 0.260 0.260 0.219
2 Er 0.740 0.740 0.781
3 Cl 0.500 0.500 0.500
4 Si 0.000 0.000 0.000

Results
**Density**: 6.9 g/cm3
**Total magnetic moment**: 0.000 μB/f.u.
**Formation energy from raw total energies**: -1.078 eV per atom
**Distance to the lowest polymorph of the same formula**: 0.0 meV/atom

---

[7]
Crystalline ErSiCl at its relaxed geometry. Source: Alexandria, functional GGA-PBE.

Cell lengths 3.996, 3.996, 10.911 Å; angles 90.02, 100.52, 120.02 degrees
Fractional coordinates of all 6 atoms:
1 Er 0.117 0.559 0.676
2 Er 0.883 0.441 0.324
3 Si 0.326 0.163 0.488
4 Si 0.674 0.837 0.512
5 Cl 0.449 0.724 0.172
6 Cl 0.551 0.276 0.828

Results
**Density**: 5.2 g/cm3
**Total magnetic moment**: 0.000 μB/f.u.
**Formation energy from raw total energies**: -1.325 eV per atom

---

[8]
Crystalline SmErCl6 at its relaxed geometry. Source: Alexandria, functional GGA-PBE.

Cell lengths 6.769, 6.769, 7.301 Å; angles 62.37, 62.38, 60.00 degrees
Fractional coordinates of all 8 atoms:
1 Cl 0.599 0.256 0.254
2 Cl 0.401 0.744 0.746
3 Cl 0.109 0.401 0.746
4 Cl 0.256 0.891 0.254
5 Cl 0.891 0.599 0.254
6 Cl 0.744 0.109 0.746
7 Sm 0.000 0.000 0.000
8 Er 0.500 0.500 0.500

Results
**Density**: 3.6 g/cm3
**Total magnetic moment**: 0.000 μB/f.u.
**Formation energy from raw total energies**: -2.246 eV per atom

---

[9]
Crystalline Sm3ErCl at its relaxed geometry. Source: Alexandria, functional GGA-PBE.

Cell lengths 5.383, 5.383, 5.383 Å; angles 90.00, 90.00, 90.00 degrees
Fractional coordinates of all 5 atoms:
1 Sm 0.000 0.500 0.000
2 Sm 0.000 0.000 0.500
3 Sm 0.500 0.000 0.000
4 Er 0.500 0.500 0.500
5 Cl 0.000 0.000 0.000

Results
**Density**: 7.0 g/cm3
**Total magnetic moment**: 0.000 μB/f.u.
**Formation energy from raw total energies**: -0.475 eV per atom

---

[10]
Crystalline SmErCl at its relaxed geometry. Source: Alexandria, functional GGA-PBE.

Cell lengths 3.682, 3.682, 7.074 Å; angles 90.00, 90.00, 120.00 degrees
Fractional coordinates of all 3 atoms:
1 Cl 0.667 0.333 0.325
2 Sm 0.333 0.667 0.647
3 Er 0.000 0.000 0.028

Results
**Density**: 7.1 g/cm3
**Total magnetic moment**: 0.369 μB/f.u.
**Formation energy from raw total energies**: -0.898 eV per atom

---

[11]
Crystalline Sm2ErCl at its relaxed geometry. Source: Alexandria, functional GGA-PBE.

Cell lengths 3.630, 3.630, 10.385 Å; angles 79.93, 79.93, 60.00 degrees
Fractional coordinates of all 4 atoms:
1 Sm 0.740 0.740 0.780
2 Sm 0.260 0.260 0.220
3 Er 0.500 0.500 0.500
4 Cl 0.000 0.000 0.000

Results
**Density**: 7.2 g/cm3
**Total magnetic moment**: 0.000 μB/f.u.
**Formation energy from raw total energies**: -0.659 eV per atom

---

[12]
Crystalline ErSn3Cl9 at its relaxed geometry. Source: Alexandria, functional GGA-PBE.

Cell lengths 9.148, 10.418, 11.440 Å; angles 65.33, 66.43, 63.96 degrees
Fractional coordinates of all 26 atoms:
1 Cl 0.650 0.115 0.478
2 Cl 0.162 0.122 0.619
3 Cl 0.847 0.144 0.060
4 Cl 0.297 0.861 0.430
5 Cl 0.364 0.529 0.345
6 Cl 0.097 0.622 0.119
7 Cl 0.948 0.644 0.560
8 Cl 0.412 0.361 0.930
9 Cl 0.379 0.222 0.280
10 Cl 0.763 0.029 0.845
11 Cl 0.120 0.722 0.780
12 Cl 0.693 0.425 0.591
13 Cl 0.720 0.848 0.318
14 Cl 0.290 0.925 0.091
15 Cl 0.498 0.797 0.715
16 Cl 0.990 0.297 0.215
17 Cl 0.757 0.615 0.978
18 Cl 0.114 0.348 0.818
19 Sn 0.070 0.940 0.868
20 Sn 0.948 0.028 0.266
21 Sn 0.523 0.245 0.731
22 Sn 0.122 0.440 0.368
23 Sn 0.501 0.745 0.231
24 Sn 0.759 0.528 0.766
25 Er 0.466 0.982 0.477
26 Er 0.075 0.482 0.977

Results
**Density**: 3.3 g/cm3
**Total magnetic moment**: 0.000 μB/f.u.
**Formation energy from raw total energies**: -1.359 eV per atom

---

[13]
Crystalline ErSnCl5 at its relaxed geometry. Source: Alexandria, functional GGA-PBE.

Cell lengths 7.176, 7.176, 10.269 Å; angles 108.41, 108.41, 90.24 degrees
Fractional coordinates of all 14 atoms:
1 Cl 0.812 0.883 0.147
2 Cl 0.226 0.731 0.523
3 Cl 0.231 0.726 0.023
4 Cl 0.617 0.688 0.353
5 Cl 0.763 0.737 0.750
6 Cl 0.237 0.263 0.250
7 Cl 0.383 0.312 0.647
8 Cl 0.188 0.117 0.853
9 Cl 0.769 0.274 0.977
10 Cl 0.774 0.269 0.477
11 Er 0.500 0.500 0.500
12 Er 0.000 0.000 0.000
13 Sn 0.913 0.587 0.250
14 Sn 0.087 0.413 0.750

Results
**Density**: 3.3 g/cm3
**Total magnetic moment**: 0.000 μB/f.u.
**Formation energy from raw total energies**: -1.680 eV per atom

---

[14]
Crystalline ErSnCl at its relaxed geometry. Source: Alexandria, functional GGA-PBE.

Cell lengths 3.672, 8.114, 5.569 Å; angles 95.83, 90.14, 76.95 degrees
Fractional coordinates of all 6 atoms:
1 Cl 0.232 0.538 0.751
2 Cl 0.768 0.462 0.249
3 Er 0.374 0.250 0.414
4 Er 0.626 0.750 0.586
5 Sn 0.038 0.922 0.228
6 Sn 0.962 0.078 0.772

Results
**Density**: 6.6 g/cm3
**Total magnetic moment**: 0.000 μB/f.u.
**Formation energy from raw total energies**: -1.154 eV per atom

---

[15]
Crystalline ErTlSnCl6 at its relaxed geometry. Source: Alexandria, functional GGA-PBE.

Cell lengths 7.232, 7.232, 6.860 Å; angles 90.00, 90.00, 60.00 degrees
Fractional coordinates of all 9 atoms:
1 Cl 0.024 0.356 0.280
2 Cl 0.356 0.024 0.720
3 Cl 0.621 0.356 0.720
4 Cl 0.356 0.621 0.280
5 Cl 0.024 0.621 0.720
6 Cl 0.621 0.024 0.280
7 Er 0.333 0.333 0.500
8 Sn 0.667 0.667 0.500
9 Tl 0.000 0.000 0.000

Results
**Density**: 3.8 g/cm3
**Total magnetic moment**: 0.000 μB/f.u.
**Formation energy from raw total energies**: -1.603 eV per atom

---

[16]
Crystalline SrErCl5 at its relaxed geometry. Source: Alexandria, functional GGA-PBE.

Cell lengths 7.165, 7.165, 9.923 Å; angles 106.28, 106.28, 92.88 degrees
Fractional coordinates of all 14 atoms:
1 Cl 0.779 0.721 0.750
2 Cl 0.783 0.895 0.139
3 Cl 0.788 0.304 0.456
4 Cl 0.605 0.717 0.361
5 Cl 0.217 0.105 0.861
6 Cl 0.395 0.283 0.639
7 Cl 0.196 0.712 0.044
8 Cl 0.221 0.279 0.250
9 Cl 0.212 0.696 0.544
10 Cl 0.804 0.288 0.956
11 Sr 0.922 0.578 0.250
12 Sr 0.078 0.422 0.750
13 Er 0.000 0.000 0.000
14 Er 0.500 0.500 0.500

Results
**Density**: 3.1 g/cm3
**Total magnetic moment**: 0.000 μB/f.u.
**Formation energy from raw total energies**: -2.300 eV per atom

---

[17]
Crystalline Sr2ErTlCl8 at its relaxed geometry. Source: Alexandria, functional GGA-PBE.

Cell lengths 6.766, 6.547, 9.076 Å; angles 90.00, 90.00, 89.94 degrees
Fractional coordinates of all 12 atoms:
1 Er 0.000 0.000 0.000
2 Cl 0.165 0.778 0.206
3 Cl 0.689 0.742 0.000
4 Cl 0.165 0.778 0.794
5 Cl 0.364 0.276 0.500
6 Cl 0.636 0.724 0.500
7 Cl 0.835 0.222 0.206
8 Cl 0.311 0.258 0.000
9 Cl 0.835 0.222 0.794
10 Tl 0.000 0.000 0.500
11 Sr 0.500 0.500 0.249
12 Sr 0.500 0.500 0.751

Results
**Density**: 3.4 g/cm3
**Total magnetic moment**: 0.000 μB/f.u.
**Formation energy from raw total energies**: -2.152 eV per atom

---

[18]
Crystalline SrErTlCl6 at its relaxed geometry. Source: Alexandria, functional GGA-PBE.

Cell lengths 7.339, 7.339, 13.477 Å; angles 90.00, 90.00, 120.00 degrees
Fractional coordinates of all 18 atoms:
1 Cl 0.029 0.646 0.862
2 Cl 0.029 0.383 0.638
3 Cl 0.971 0.617 0.362
4 Cl 0.617 0.646 0.638
5 Cl 0.383 0.029 0.138
6 Cl 0.617 0.971 0.862
7 Cl 0.354 0.971 0.638
8 Cl 0.646 0.617 0.138
9 Cl 0.646 0.029 0.362
10 Cl 0.971 0.354 0.138
11 Cl 0.383 0.354 0.362
12 Cl 0.354 0.383 0.862
13 Er 0.333 0.667 0.750
14 Er 0.667 0.333 0.250
15 Tl 0.000 0.000 0.500
16 Tl 0.000 0.000 0.000
17 Sr 0.333 0.667 0.250
18 Sr 0.667 0.333 0.750

Results
**Density**: 3.5 g/cm3
**Total magnetic moment**: 0.000 μB/f.u.
**Formation energy from raw total energies**: -2.089 eV per atom

---

[19]
Crystalline Er2TaCl at its relaxed geometry. Source: Alexandria, functional GGA-PBE.

Cell lengths 3.197, 3.197, 10.625 Å; angles 81.35, 81.35, 60.00 degrees
Fractional coordinates of all 4 atoms:
1 Er 0.095 0.095 0.716
2 Er 0.905 0.905 0.284
3 Cl 0.500 0.500 0.500
4 Ta 0.000 0.000 0.000

Results
**Density**: 9.9 g/cm3
**Total magnetic moment**: 0.950 μB/f.u.
**Formation energy from raw total energies**: -0.014 eV per atom

---

[20]
Crystalline TbErCl at its relaxed geometry. Source: Alexandria, functional GGA-PBE.

Cell lengths 3.656, 3.656, 6.968 Å; angles 90.00, 90.00, 120.00 degrees
Fractional coordinates of all 3 atoms:
1 Tb 0.667 0.333 0.355
2 Cl 0.333 0.667 0.669
3 Er 0.000 0.000 0.976

Results
**Density**: 7.4 g/cm3
**Total magnetic moment**: 0.274 μB/f.u.
**Formation energy from raw total energies**: -0.896 eV per atom
**Distance to the lowest polymorph of the same formula**: 43.0 meV/atom